# 1
Compound: Na3ErCl6
Source: the Alexandria database
Functional: meta-GGA SCAN
Structure: PBEsol geometry

Unit cell a=7.351 b=7.351 c=7.351 alpha=60.00 beta=60.00 gamma=60.00
Element x y z (fractional)
Na (0.750, 0.750, 0.750)
Na (0.250, 0.250, 0.250)
Na (0.500, 0.500, 0.500)
Er (0.000, 0.000, 0.000)
Cl (0.754, 0.246, 0.246)
Cl (0.754, 0.754, 0.246)
Cl (0.246, 0.754, 0.754)
Cl (0.754, 0.246, 0.754)
Cl (0.246, 0.754, 0.246)
Cl (0.246, 0.246, 0.754)

Results
Its formation energy (no corrections) is -2014.3 kJ/mol of formula units.



# 2
Compound: NaErCl4
Source: the Alexandria database
Functional: meta-GGA SCAN
Structure: PBEsol geometry

Unit cell a=6.302 b=6.681 c=7.598 alpha=90.00 beta=90.00 gamma=92.25
Element x y z (fractional)
Na (0.500, 0.250, 0.648)
Na (0.500, 0.750, 0.352)
Er (0.000, 0.250, 0.155)
Er (0.000, 0.750, 0.845)
Cl (0.254, 0.404, 0.376)
Cl (0.746, 0.096, 0.376)
Cl (0.775, 0.066, 0.896)
Cl (0.225, 0.434, 0.896)
Cl (0.225, 0.934, 0.104)
Cl (0.775, 0.566, 0.104)
Cl (0.254, 0.904, 0.624)
Cl (0.746, 0.596, 0.624)

Results
Its formation energy (no corrections) is -1368.6 kJ/mol of formula units.



# 3
Compound: ErClO
Source: the Alexandria database
Functional: meta-GGA SCAN
Structure: PBEsol geometry

Unit cell a=3.814 b=3.814 c=6.532 alpha=90.00 beta=90.00 gamma=90.00
Element x y z (fractional)
Er (0.000, 0.500, 0.169)
Er (0.500, 0.000, 0.831)
O (0.500, 0.500, 0.000)
O (0.000, 0.000, 0.000)
Cl (0.000, 0.500, 0.627)
Cl (0.500, 0.000, 0.373)

Results
Its formation energy (no corrections) is -991.4 kJ/mol of formula units.



# 4
Compound: ErClO
Source: the Alexandria database
Functional: meta-GGA SCAN
Structure: PBEsol geometry

Unit cell a=3.684 b=4.098 c=8.629 alpha=90.00 beta=90.00 gamma=90.00
Element x y z (fractional)
Er (0.500, 0.000, 0.120)
Er (0.000, 0.500, 0.880)
O (0.000, 0.000, 0.970)
O (0.500, 0.500, 0.030)
Cl (0.500, 0.500, 0.663)
Cl (0.000, 0.000, 0.337)

Results
Its formation energy (no corrections) is -981.4 kJ/mol of formula units.



# 5
Compound: RbErSeCl2O3
Source: the Alexandria database
Functional: meta-GGA SCAN
Structure: PBEsol geometry

Unit cell a=6.489 b=6.916 c=16.692 alpha=90.00 beta=96.41 gamma=90.00
Element x y z (fractional)
Rb (0.319, 0.298, 0.556)
Rb (0.819, 0.202, 0.056)
Rb (0.681, 0.702, 0.444)
Rb (0.181, 0.798, 0.944)
Er (0.625, 0.849, 0.760)
Er (0.875, 0.349, 0.740)
Er (0.375, 0.151, 0.240)
Er (0.125, 0.651, 0.260)
Se (0.581, 0.655, 0.206)
Se (0.081, 0.845, 0.706)
Se (0.919, 0.155, 0.294)
Se (0.419, 0.345, 0.794)
O (0.077, 0.329, 0.257)
O (0.784, 0.649, 0.278)
O (0.579, 0.527, 0.766)
O (0.079, 0.973, 0.266)
O (0.577, 0.171, 0.757)
O (0.923, 0.671, 0.743)
O (0.421, 0.473, 0.234)
O (0.284, 0.851, 0.778)
O (0.423, 0.829, 0.243)
O (0.921, 0.027, 0.734)
O (0.216, 0.351, 0.722)
O (0.716, 0.149, 0.222)
Cl (0.322, 0.135, 0.083)
Cl (0.992, 0.655, 0.107)
Cl (0.678, 0.865, 0.917)
Cl (0.178, 0.635, 0.417)
Cl (0.492, 0.845, 0.607)
Cl (0.508, 0.155, 0.393)
Cl (0.008, 0.345, 0.893)
Cl (0.822, 0.365, 0.583)

Results
Its formation energy (no corrections) is -1723.5 kJ/mol of formula units.



# 6
Compound: Rb2ErCl5
Source: the Alexandria database
Functional: meta-GGA SCAN
Structure: PBEsol geometry

Unit cell a=7.208 b=9.286 c=14.542 alpha=90.00 beta=90.00 gamma=90.00
Element x y z (fractional)
Rb (0.750, 0.829, 0.586)
Rb (0.250, 0.171, 0.414)
Rb (0.250, 0.671, 0.086)
Rb (0.750, 0.329, 0.914)
Rb (0.750, 0.532, 0.292)
Rb (0.250, 0.468, 0.708)
Rb (0.250, 0.968, 0.792)
Rb (0.750, 0.032, 0.208)
Er (0.750, 0.811, 0.937)
Er (0.250, 0.189, 0.063)
Er (0.250, 0.689, 0.437)
Er (0.750, 0.311, 0.563)
Cl (0.750, 0.968, 0.793)
Cl (0.250, 0.032, 0.207)
Cl (0.250, 0.532, 0.293)
Cl (0.750, 0.468, 0.707)
Cl (0.011, 0.650, 0.887)
Cl (0.989, 0.350, 0.113)
Cl (0.989, 0.850, 0.387)
Cl (0.511, 0.350, 0.113)
Cl (0.011, 0.150, 0.613)
Cl (0.489, 0.650, 0.887)
Cl (0.489, 0.150, 0.613)
Cl (0.511, 0.850, 0.387)
Cl (0.750, 0.719, 0.105)
Cl (0.250, 0.281, 0.895)
Cl (0.250, 0.781, 0.605)
Cl (0.750, 0.219, 0.395)
Cl (0.500, 0.000, 0.000)
Cl (0.500, 0.500, 0.500)
Cl (0.000, 0.000, 0.000)
Cl (0.000, 0.500, 0.500)

Results
Its formation energy (no corrections) is -1862.1 kJ/mol of formula units.



# 7
Compound: RbEr2Cl7
Source: the Alexandria database
Functional: meta-GGA SCAN
Structure: PBEsol geometry

Unit cell a=6.803 b=12.365 c=13.073 alpha=90.00 beta=90.00 gamma=90.00
Element x y z (fractional)
Rb (0.250, 0.805, 0.041)
Rb (0.750, 0.195, 0.959)
Rb (0.750, 0.305, 0.459)
Rb (0.250, 0.695, 0.541)
Er (0.250, 0.460, 0.239)
Er (0.750, 0.540, 0.761)
Er (0.750, 0.960, 0.261)
Er (0.250, 0.040, 0.739)
Er (0.250, 0.157, 0.248)
Er (0.750, 0.843, 0.752)
Er (0.750, 0.657, 0.252)
Er (0.250, 0.343, 0.748)
Cl (0.006, 0.307, 0.175)
Cl (0.994, 0.693, 0.825)
Cl (0.994, 0.807, 0.325)
Cl (0.506, 0.693, 0.825)
Cl (0.006, 0.193, 0.675)
Cl (0.494, 0.307, 0.175)
Cl (0.494, 0.193, 0.675)
Cl (0.506, 0.807, 0.325)
Cl (0.010, 0.577, 0.123)
Cl (0.990, 0.423, 0.877)
Cl (0.990, 0.077, 0.377)
Cl (0.510, 0.423, 0.877)
Cl (0.010, 0.923, 0.623)
Cl (0.490, 0.577, 0.123)
Cl (0.490, 0.923, 0.623)
Cl (0.510, 0.077, 0.377)
Cl (0.010, 0.040, 0.130)
Cl (0.990, 0.960, 0.870)
Cl (0.990, 0.540, 0.370)
Cl (0.510, 0.960, 0.870)
Cl (0.010, 0.460, 0.630)
Cl (0.490, 0.040, 0.130)
Cl (0.490, 0.460, 0.630)
Cl (0.510, 0.540, 0.370)
Cl (0.250, 0.311, 0.392)
Cl (0.750, 0.689, 0.608)
Cl (0.750, 0.811, 0.108)
Cl (0.250, 0.189, 0.892)

Results
Its formation energy (no corrections) is -2411.0 kJ/mol of formula units.



# 8
Compound: EuCl2
Source: the Alexandria database
Functional: meta-GGA SCAN
Structure: PBEsol geometry

Unit cell a=4.397 b=7.347 c=8.831 alpha=90.00 beta=90.00 gamma=90.00
Element x y z (fractional)
Eu (0.750, 0.252, 0.616)
Eu (0.250, 0.748, 0.384)
Eu (0.750, 0.752, 0.884)
Eu (0.250, 0.248, 0.116)
Cl (0.750, 0.477, 0.335)
Cl (0.250, 0.523, 0.665)
Cl (0.750, 0.977, 0.165)
Cl (0.250, 0.023, 0.835)
Cl (0.250, 0.143, 0.427)
Cl (0.750, 0.857, 0.573)
Cl (0.250, 0.643, 0.073)
Cl (0.750, 0.357, 0.927)

Results
Its formation energy (no corrections) is -766.4 kJ/mol of formula units.



# 9
Compound: EuCl2
Source: the Alexandria database
Functional: meta-GGA SCAN
Structure: PBEsol geometry

Unit cell a=4.321 b=6.588 c=6.588 alpha=90.00 beta=90.00 gamma=90.00
Element x y z (fractional)
Eu (0.500, 0.500, 0.500)
Eu (0.000, 0.000, 0.000)
Cl (0.000, 0.696, 0.696)
Cl (0.500, 0.804, 0.196)
Cl (0.000, 0.304, 0.304)
Cl (0.500, 0.196, 0.804)

Results
Its formation energy (no corrections) is -751.1 kJ/mol of formula units.



# 10
Compound: Eu2H3Cl
Source: the Alexandria database
Functional: meta-GGA SCAN
Structure: PBEsol geometry

Unit cell a=3.927 b=3.927 c=6.536 alpha=90.00 beta=90.00 gamma=120.00
Element x y z (fractional)
Eu (0.333, 0.667, 0.295)
Eu (0.667, 0.333, 0.705)
H (0.333, 0.667, 0.653)
H (0.667, 0.333, 0.347)
H (0.000, 0.000, 0.500)
Cl (0.000, 0.000, 0.000)



# 11
Compound: K2LiEuCl6
Source: the Alexandria database
Functional: meta-GGA SCAN
Structure: PBEsol geometry

Unit cell a=7.260 b=7.260 c=7.260 alpha=60.00 beta=60.00 gamma=60.00
Element x y z (fractional)
Eu (0.500, 0.500, 0.500)
K (0.750, 0.750, 0.750)
K (0.250, 0.250, 0.250)
Li (0.000, 0.000, 0.000)
Cl (0.242, 0.242, 0.758)
Cl (0.242, 0.758, 0.758)
Cl (0.242, 0.758, 0.242)
Cl (0.758, 0.758, 0.242)
Cl (0.758, 0.242, 0.242)
Cl (0.758, 0.242, 0.758)

Results
Its formation energy (no corrections) is -2021.3 kJ/mol of formula units.



# 12
Compound: KRb2EuCl6
Source: the Alexandria database
Functional: meta-GGA SCAN
Structure: PBEsol geometry

Unit cell a=7.880 b=7.880 c=7.880 alpha=60.00 beta=60.00 gamma=60.00
Element x y z (fractional)
Eu (0.000, 0.000, 0.000)
K (0.500, 0.500, 0.500)
Rb (0.750, 0.750, 0.750)
Rb (0.250, 0.250, 0.250)
Cl (0.762, 0.238, 0.238)
Cl (0.238, 0.762, 0.238)
Cl (0.238, 0.238, 0.762)
Cl (0.762, 0.238, 0.762)
Cl (0.762, 0.762, 0.238)
Cl (0.238, 0.762, 0.762)

Results
Its formation energy (no corrections) is -2043.2 kJ/mol of formula units.



# 13
Compound: Rb2LiEuCl6
Source: the Alexandria database
Functional: meta-GGA SCAN
Structure: PBEsol geometry

Unit cell a=7.303 b=7.303 c=7.303 alpha=60.00 beta=60.00 gamma=60.00
Element x y z (fractional)
Eu (0.500, 0.500, 0.500)
Li (0.000, 0.000, 0.000)
Rb (0.750, 0.750, 0.750)
Rb (0.250, 0.250, 0.250)
Cl (0.243, 0.243, 0.757)
Cl (0.243, 0.757, 0.757)
Cl (0.243, 0.757, 0.243)
Cl (0.757, 0.757, 0.243)
Cl (0.757, 0.243, 0.243)
Cl (0.757, 0.243, 0.757)

Results
Its formation energy (no corrections) is -2063.1 kJ/mol of formula units.



# 14
Compound: Eu2SiCl2O3
Source: the Alexandria database
Functional: meta-GGA SCAN
Structure: PBEsol geometry

Unit cell a=9.110 b=9.110 c=9.110 alpha=105.50 beta=105.50 gamma=117.74
Element x y z (fractional)
Eu (0.306, 0.475, 0.330)
Eu (0.855, 0.024, 0.330)
Eu (0.145, 0.976, 0.670)
Eu (0.475, 0.145, 0.169)
Eu (0.976, 0.306, 0.831)
Eu (0.694, 0.525, 0.670)
Eu (0.525, 0.855, 0.831)
Eu (0.024, 0.694, 0.169)
Si (0.685, 0.598, 0.283)
Si (0.315, 0.402, 0.717)
Si (0.402, 0.685, 0.087)
Si (0.598, 0.315, 0.913)
Cl (0.209, 0.209, 0.000)
Cl (0.899, 0.245, 0.144)
Cl (0.755, 0.899, 0.654)
Cl (0.101, 0.755, 0.856)
Cl (0.250, 0.750, 0.500)
Cl (0.245, 0.101, 0.346)
Cl (0.750, 0.250, 0.500)
Cl (0.791, 0.791, 0.000)
O (0.448, 0.332, 0.781)
O (0.520, 0.898, 0.118)
O (0.552, 0.668, 0.219)
O (0.898, 0.780, 0.378)
O (0.402, 0.520, 0.622)
O (0.102, 0.220, 0.622)
O (0.780, 0.402, 0.882)
O (0.668, 0.448, 0.116)
O (0.598, 0.480, 0.378)
O (0.220, 0.598, 0.118)
O (0.480, 0.102, 0.882)
O (0.332, 0.552, 0.884)

Results
Its formation energy (no corrections) is -2338.0 kJ/mol of formula units.



# 15
Compound: EuTiClO3
Source: the Alexandria database
Functional: meta-GGA SCAN
Structure: PBEsol geometry

Unit cell a=3.890 b=5.240 c=10.031 alpha=75.25 beta=78.82 gamma=68.21
Element x y z (fractional)
Eu (0.781, 0.236, 0.201)
Eu (0.219, 0.764, 0.799)
Ti (0.620, 0.196, 0.565)
Ti (0.380, 0.804, 0.435)
Cl (0.111, 0.678, 0.099)
Cl (0.889, 0.322, 0.901)
O (0.647, 0.963, 0.742)
O (0.578, 0.465, 0.379)
O (0.353, 0.037, 0.258)
O (0.422, 0.535, 0.621)
O (0.167, 0.105, 0.561)
O (0.833, 0.895, 0.439)

Results
Its formation energy (no corrections) is -1761.7 kJ/mol of formula units.



# 16
Compound: Eu3WCl3O6
Source: the Alexandria database
Functional: meta-GGA SCAN
Structure: PBEsol geometry

Unit cell a=5.263 b=9.167 c=9.167 alpha=120.00 beta=90.00 gamma=90.00
Element x y z (fractional)
Eu (0.750, 0.403, 0.091)
Eu (0.250, 0.597, 0.909)
Eu (0.750, 0.909, 0.312)
Eu (0.250, 0.091, 0.688)
Eu (0.750, 0.688, 0.597)
Eu (0.250, 0.312, 0.403)
W (0.750, 0.333, 0.667)
W (0.250, 0.667, 0.333)
Cl (0.750, 0.191, 0.241)
Cl (0.250, 0.809, 0.759)
Cl (0.750, 0.759, 0.950)
Cl (0.250, 0.241, 0.050)
Cl (0.750, 0.050, 0.809)
Cl (0.250, 0.950, 0.191)
O (0.515, 0.159, 0.522)
O (0.485, 0.841, 0.478)
O (0.515, 0.478, 0.637)
O (0.015, 0.841, 0.478)
O (0.485, 0.522, 0.363)
O (0.985, 0.159, 0.522)
O (0.515, 0.363, 0.841)
O (0.015, 0.522, 0.363)
O (0.485, 0.637, 0.159)
O (0.985, 0.478, 0.637)
O (0.015, 0.637, 0.159)
O (0.985, 0.363, 0.841)

Results
Its formation energy (no corrections) is -3321.7 kJ/mol of formula units.



# 17
Compound: Eu2PCl
Source: the Alexandria database
Functional: meta-GGA SCAN
Structure: PBEsol geometry

Unit cell a=4.104 b=4.104 c=5.769 alpha=90.00 beta=90.00 gamma=90.00
Element x y z (fractional)
Eu (0.000, 0.000, 0.000)
Eu (0.500, 0.500, 0.500)
P (0.000, 0.000, 0.500)
Cl (0.500, 0.500, 0.000)

Results
Its formation energy (no corrections) is -703.2 kJ/mol of formula units.



# 18
Compound: FeClF2
Source: the Alexandria database
Functional: meta-GGA SCAN
Structure: PBEsol geometry

Unit cell a=4.058 b=4.058 c=4.058 alpha=60.00 beta=60.00 gamma=60.00
Element x y z (fractional)
F (0.250, 0.250, 0.250)
F (0.750, 0.750, 0.750)
Fe (0.500, 0.500, 0.500)
Cl (0.000, 0.000, 0.000)

Results
Its formation energy (no corrections) is -307.1 kJ/mol of formula units.



| no. | total DFT energy (no corrections) (Ry/atom) |
| --- | --- |
| 1 | -0.9682 |
| 2 | -1.2330 |
| 3 | -1.8332 |
| 4 | -1.8306 |
| 5 | -1.3199 |
| 6 | -1.3874 |
| 7 | -1.4865 |
| 8 | -1.9014 |
| 9 | -1.8975 |
| 10 | -1.6281 |
| 11 | -1.0406 |
| 12 | -1.2683 |
| 13 | -1.2262 |
| 14 | -1.6199 |
| 15 | -1.4047 |
| 16 | -1.8463 |
| 17 | -2.4454 |
| 18 | -0.6683 |